A plane-wave DFT calculation with PBE was carried out for an optimized crystal structure of NaPrGePd.

Results
Calculated formation energy (eV per atom): -0.459

Structure (extended XYZ):
```
4
Lattice="-4.2035 -1.0108 2.2406 -1.8481 -4.5004 -0.2061 -0.0245 -2.8065 3.9792" Properties=species:S:1:pos:R:3 pbc="T T T"
Pr -3.0380 -4.1589 3.0069
Na -4.5571 -6.2383 4.5104
Ge 0.0000 0.0000 0.0000
Pd -1.5190 -2.0794 1.5035
```

A plane-wave DFT calculation with PBE was carried out for an optimized crystal structure of ErAs2.

Results
Calculated formation energy (eV per atom): -0.794

Structure (extended XYZ):
```
6
Lattice="-3.3958 1.2416 -1.3742 -1.8512 -2.1910 2.5949 2.7468 7.1121 5.0819" Properties=species:S:1:pos:R:3 pbc="T T T"
Er 0.0336 1.8084 1.5509
Er -2.5338 4.3543 4.7518
As -2.5760 2.0853 2.8059
As 0.0758 4.0774 3.4968
As -1.6979 0.6208 -0.6871
As -0.9256 -1.0955 1.2975
```

A plane-wave DFT calculation with PBE was carried out for an optimized crystal structure of Zr2Ti3Pb5O15.

Results
Energy relative to the elements, uncorrected (meV/atom): -1874

Structure (extended XYZ):
```
25
Lattice="-0.3826 -3.5255 -4.6764 -0.0714 2.6670 -5.2274 25.0006 -1.7436 -5.4741" Properties=species:S:1:pos:R:3 pbc="T T T"
Zr 14.2521 -1.8228 -12.4343
Zr 9.2567 -0.9610 -5.5716
Ti 4.0019 -0.9429 -8.3352
Ti 24.4565 -1.8209 -6.6504
Ti 19.4514 -1.8162 -9.4239
Pb 13.2629 -1.1362 -5.2775
Pb 7.8462 -1.1354 -8.3275
Pb 3.3206 -0.2781 -1.2503
Pb 23.3214 -2.0145 -9.4673
Pb 18.2811 -2.0071 -12.2304
O 16.1710 -1.9316 -12.5737
O 11.1743 -1.0690 -5.7016
O 5.7280 -1.0609 -8.6871
O 1.1789 -0.1953 -1.5291
O 21.1812 -1.9329 -9.7583
O 18.9428 -0.2344 -8.8161
O 13.6933 -2.8190 -6.5221
O 8.6200 0.7115 -4.8984
O 3.4982 0.6414 -7.7316
O 23.5699 -3.7609 -10.7233
O 18.7934 -3.2076 -8.5515
O 13.8475 0.2498 -6.7952
O 8.4628 -2.4171 -4.6199
O 3.3485 -2.3379 -7.4665
O 23.7312 -0.5502 -11.0090
```

A plane-wave DFT calculation with PBE was carried out for an optimized crystal structure of K5HgO.

Results
Energy relative to the elements, uncorrected (meV/atom): -490

Structure (extended XYZ):
```
7
Lattice="5.0590 0.0000 2.2596 1.5741 7.4869 3.2688 -0.6622 -0.5439 8.2754" Properties=species:S:1:pos:R:3 pbc="T T T"
K 3.9032 1.9888 4.9336
K 0.4789 3.4715 5.7824
K 2.1321 4.9542 8.8990
K 2.3983 1.3095 8.2564
K 3.6023 5.6335 5.5607
Hg 0.9243 6.9430 11.5497
O 3.0113 3.4715 6.9135
```

A plane-wave DFT calculation with PBE was carried out for an optimized crystal structure of Nd3Dy2UN6.

Results
Energy relative to the elements, uncorrected (meV/atom): -1534

Structure (extended XYZ):
```
12
Lattice="6.0998 0.0030 0.0009 -3.0458 5.2849 0.0009 -1.0176 -1.7620 5.8354" Properties=species:S:1:pos:R:3 pbc="T T T"
Nd -2.0166 3.5156 2.9186
Nd 4.0529 0.0102 2.9186
Nd 1.0182 1.7629 2.9186
Dy 0.0066 3.5220 0.0009
Dy 3.0473 1.7659 0.0009
U 0.0000 0.0000 0.0000
N 2.9822 1.8844 4.5460
N 2.1033 3.6419 1.3029
N -0.9459 1.6414 1.2911
N 0.1418 3.5248 4.5460
N -0.0670 -0.1160 4.5342
N 1.8945 0.0010 1.2911
```

A plane-wave DFT calculation with PBE was carried out for an optimized crystal structure of Nd4SnTe2S.

Results
Energy relative to the elements, uncorrected (meV/atom): -1410

Structure (extended XYZ):
```
16
Lattice="8.8346 -0.0001 -0.0855 -0.0063 8.8346 -0.0855 -4.4177 -4.4208 6.3309" Properties=species:S:1:pos:R:3 pbc="T T T"
Nd -2.3388 2.2773 6.2085
Nd 4.3431 0.1230 3.1167
Nd 0.0674 4.2906 3.0431
Nd 6.7493 2.1363 -0.0487
Nd 2.3450 2.2798 6.0482
Nd 4.3376 4.2738 3.1915
Nd 0.0729 0.1398 2.9683
Nd 2.0655 2.1338 0.1116
Sn -0.0032 4.4173 -0.0428
Sn 6.6225 2.2067 3.0371
Te 4.4173 0.0000 -0.0428
Te 2.2084 -2.2105 3.1227
Te -2.2089 -2.2104 3.1654
Te 4.4141 4.4172 -0.0855
S 2.2052 2.2068 3.0799
S 4.4105 4.4136 6.1598
```

A plane-wave DFT calculation with PBE was carried out for an optimized crystal structure of Er2Cd15Ag2.

Results
Calculated formation energy (eV per atom): -0.071

Structure (extended XYZ):
```
19
Lattice="7.5288 0.0575 1.0502 0.9217 7.4724 1.0502 0.0646 0.0575 7.6014" Properties=species:S:1:pos:R:3 pbc="T T T"
Er 2.7875 2.4838 3.1760
Er 5.7276 5.1037 6.5259
Cd 3.7644 0.0288 0.5251
Cd 0.0323 0.0288 3.8007
Cd 0.4609 3.7362 0.5251
Cd 0.6675 5.2727 2.9937
Cd 5.5688 2.2572 1.0502
Cd 2.2789 0.0575 5.6580
Cd 2.8818 5.2727 1.0502
Cd 5.3145 0.0575 2.9937
Cd 0.3189 2.2572 5.6580
Cd 1.8110 4.8081 5.6789
Cd 5.3960 4.8081 2.5325
Cd 4.9843 1.2469 5.6789
Cd 6.7041 2.7794 4.0229
Cd 3.1192 2.7794 7.1694
Cd 3.5309 6.3406 4.0229
Ag 0.8990 0.8011 1.0243
Ag 7.6161 6.7864 8.6775
```

A plane-wave DFT calculation with PBE was carried out for an optimized crystal structure of BaP4Se.

Results
Energy relative to the elements, uncorrected (meV/atom): -379

Structure (extended XYZ):
```
6
Lattice="0.0000 4.2138 4.2138 4.2138 0.0000 4.2138 4.2138 4.2138 0.0000" Properties=species:S:1:pos:R:3 pbc="T T T"
Ba 0.0000 0.0000 0.0000
P 3.4326 4.9949 4.9949
P 4.9949 4.9949 3.4326
P 4.9949 3.4326 4.9949
P 3.4326 3.4326 3.4326
Se 6.3207 6.3207 6.3207
```